RbCr2SnO8: relaxed, PBE with a Hubbard U.

The structure in POSCAR format:
```
RbCr2SnO8
1.0
5.2984 -0.1078 0.1033
2.3485 4.7508 0.1033
0.5049 0.3065 8.3129
Rb Cr Sn O
1 2 1 8
direct
0.0000 0.0000 0.5000
0.6242 0.6242 0.2017
0.3758 0.3758 0.7983
0.0000 0.0000 0.0000
0.7313 0.2325 0.8201
0.7689 0.7689 0.0531
0.6868 0.6868 0.3785
0.3132 0.3132 0.6215
0.2311 0.2311 0.9469
0.2325 0.7313 0.8201
0.7675 0.2687 0.1799
0.2687 0.7675 0.1799
```

Output
E_tot ... -0.470 Ry per atom
Theoretical density ... 3432 kg/m3